This record from the Alexandria database describes a crystal of IrPdN2O relaxed with PBEsol. The functional is SCAN.

Geometry as POSCAR:
```
IrPdN2O
1.0
3.812 0.000 0.000
0.000 3.812 0.000
0.000 0.000 3.846
Ir Pd N O
1 1 2 1
Cartesian
0.000 0.000 0.000
1.906 1.906 1.923
0.000 1.906 1.923
1.906 0.000 1.923
1.906 1.906 0.000
```

Properties
E_tot ... -23.7733 eV/atom
N(E_F) ... 0.75 states/eV/atom



This record from the Alexandria database describes a crystal of IrSeN2O relaxed with PBEsol. The functional is SCAN.

Geometry as POSCAR:
```
IrSeN2O
1.0
3.731 0.000 0.000
0.000 3.731 0.000
0.000 0.000 3.871
Ir Se N O
1 1 2 1
Cartesian
0.000 0.000 0.000
1.865 1.865 0.000
0.000 1.865 1.935
1.865 0.000 1.935
1.865 1.865 1.935
```

Properties
E_tot ... -20.9119 eV/atom
N(E_F) ... 0.42 states/eV/atom



This record from the Alexandria database describes a crystal of TeIrN2O relaxed with PBEsol. The functional is SCAN.

Geometry as POSCAR:
```
TeIrN2O
1.0
3.903 0.000 0.000
0.000 3.903 0.000
0.000 0.000 3.945
Te Ir N O
1 1 2 1
Cartesian
0.000 0.000 0.000
1.952 1.952 1.973
0.000 1.952 1.973
1.952 0.000 1.973
1.952 1.952 0.000
```

Properties
E_tot ... -25.8124 eV/atom
N(E_F) ... 0.58 states/eV/atom



This record from the Alexandria database describes a crystal of TeIrN2O relaxed with PBEsol. The functional is SCAN.

Geometry as POSCAR:
```
TeIrN2O
1.0
3.647 0.000 0.000
0.000 3.647 0.000
0.000 0.000 5.808
Te Ir N O
1 1 2 1
Cartesian
0.000 0.000 0.000
0.000 0.000 2.904
0.000 1.823 2.904
1.823 0.000 2.904
1.823 1.823 0.000
```

Properties
E_tot ... -25.8919 eV/atom
N(E_F) ... 0.55 states/eV/atom



This record from the Alexandria database describes a crystal of IrWNO2 relaxed with PBEsol. The functional is SCAN.

Geometry as POSCAR:
```
IrWNO2
1.0
3.812 0.000 0.000
0.000 3.812 0.000
0.000 0.000 4.043
Ir W N O
1 1 1 2
Cartesian
0.000 0.000 0.000
1.906 1.906 2.022
1.906 1.906 0.000
0.000 1.906 2.022
1.906 0.000 2.022
```

Properties
E_tot ... -32.4468 eV/atom
N(E_F) ... 0.44 states/eV/atom



This record from the Alexandria database describes a crystal of IrWN2O relaxed with PBEsol. The functional is SCAN.

Geometry as POSCAR:
```
IrWN2O
1.0
3.967 0.000 0.000
0.000 3.967 0.000
0.000 0.000 3.734
Ir W N O
1 1 2 1
Cartesian
0.000 0.000 0.000
1.983 1.983 1.867
0.000 1.983 1.867
1.983 0.000 1.867
1.983 1.983 0.000
```

Properties
E_tot ... -32.4550 eV/atom
N(E_F) ... 0.55 states/eV/atom



This record from the Alexandria database describes a crystal of IrWN2O relaxed with PBEsol. The functional is SCAN.

Geometry as POSCAR:
```
IrWN2O
1.0
3.838 0.000 0.000
0.000 3.838 0.000
0.000 0.000 3.811
Ir W N O
1 1 2 1
Cartesian
0.000 0.000 0.000
1.919 1.919 1.905
0.000 1.919 0.000
1.919 0.000 0.000
0.000 0.000 1.905
```

Properties
E_tot ... -31.7065 eV/atom
N(E_F) ... 0.71 states/eV/atom



This record from the Alexandria database describes a crystal of YIrN2O relaxed with PBEsol. The functional is SCAN.

Geometry as POSCAR:
```
YIrN2O
1.0
4.279 0.000 0.000
0.000 4.279 0.000
0.000 0.000 4.087
Y Ir N O
1 1 2 1
Cartesian
0.000 0.000 0.000
2.140 2.140 2.043
0.000 2.140 0.000
2.140 0.000 0.000
0.000 0.000 2.043
```

Properties
E_tot ... -23.4498 eV/atom
N(E_F) ... 0.84 states/eV/atom



This record from the Alexandria database describes a crystal of IrOsS2N relaxed with PBEsol. The functional is SCAN.

Geometry as POSCAR:
```
IrOsS2N
1.0
4.654 0.000 0.000
0.000 4.654 0.000
0.000 0.000 3.576
Ir Os S N
1 1 2 1
Cartesian
0.000 0.000 0.000
2.327 2.327 1.788
0.000 2.327 1.788
2.327 0.000 1.788
2.327 2.327 0.000
```

Properties
E_tot ... -33.1830 eV/atom
N(E_F) ... 0.58 states/eV/atom



This record from the Alexandria database describes a crystal of IrOsSe2N relaxed with PBEsol. The functional is SCAN.

Geometry as POSCAR:
```
IrOsSe2N
1.0
4.937 0.000 0.000
0.000 4.937 0.000
0.000 0.000 3.538
Ir Os Se N
1 1 2 1
Cartesian
0.000 0.000 0.000
2.469 2.469 1.769
0.000 2.469 0.000
2.469 0.000 0.000
0.000 0.000 1.769
```

Properties
E_tot ... -37.2385 eV/atom
N(E_F) ... 0.56 states/eV/atom



This record from the Alexandria database describes a crystal of P3IrN relaxed with PBEsol. The functional is SCAN.

Geometry as POSCAR:
```
P3IrN
1.0
3.906 0.000 0.000
0.000 3.906 0.000
0.000 0.000 3.906
P Ir N
3 1 1
Cartesian
0.000 0.000 1.953
0.000 1.953 0.000
1.953 0.000 0.000
1.953 1.953 1.953
0.000 0.000 0.000
```

Properties
E_tot ... -21.4506 eV/atom
N(E_F) ... 0.30 states/eV/atom



This record from the Alexandria database describes a crystal of PIrSN2 relaxed with PBEsol. The functional is SCAN.

Geometry as POSCAR:
```
PIrSN2
1.0
3.255 0.000 0.000
0.000 3.255 0.000
0.000 0.000 7.109
P Ir S N
1 1 1 2
Cartesian
0.000 0.000 0.000
1.627 1.627 3.554
0.000 0.000 3.554
0.000 1.627 0.000
1.627 0.000 0.000
```

Properties
E_tot ... -21.0291 eV/atom
N(E_F) ... 0.48 states/eV/atom



Result set for formation energy from raw total energies: 9.821, 11.432, 4.102, 3.704, 0.307, 3.326, 7.068, 6.506, 5.612, 6.235, 4.333, 4.563 eV/f.u., one per record in the order listed.